A relaxed HfCu2Ru2 crystal. Source: the Alexandria database, functional PBE.

Computed properties:
- Theoretical density: 10965 kg/m³
- SG: I4/mmm, No. 139
- VASP energy: -36.2 eV/cell
- E_form: 108 meV/atom

Cell: 7.1535 7.1535 7.1535 Å, 152.70 152.70 39.00°
Closest atoms and distances in Å follow each position.
Fractional positions:
Hf: 0.0000 0.0000 0.0000  8 Ru 2.77
Cu: 0.2500 0.7500 0.5000  4 Cu 2.39, 4 Ru 2.59
Cu: 0.7500 0.2500 0.5000  4 Cu 2.39, 4 Ru 2.59
Ru: 0.3960 0.3960 0.0000  4 Cu 2.59, 4 Hf 2.77, 1 Ru 2.80
Ru: 0.6040 0.6040 0.0000  4 Cu 2.59, 4 Hf 2.77, 1 Ru 2.80



A relaxed HfCu2Ru2 crystal. Source: the Alexandria database, functional PBE.

Computed properties:
- Theoretical density: 11519 kg/m³
- SG: P4/mbm, No. 127
- VASP energy: -72.7 eV/cell
- E_form: 68 meV/atom

Cell: 6.7429 6.7429 3.2196 Å, 90.00 90.00 90.00°
Closest atoms and distances in Å follow each position.
Fractional positions:
Hf: 0.0000 0.0000 0.0000  4 Cu 2.67, 8 Ru 2.97
Hf: 0.5000 0.5000 0.0000  4 Cu 2.67, 8 Ru 2.97
Cu: 0.1247 0.3753 0.0000  1 Cu 2.38, 6 Ru 2.52-2.59
Cu: 0.3753 0.8753 0.0000  1 Cu 2.38, 6 Ru 2.52-2.59
Cu: 0.6247 0.1247 0.0000  1 Cu 2.38, 6 Ru 2.52-2.59
Cu: 0.8753 0.6247 0.0000  1 Cu 2.38, 6 Ru 2.52-2.59
Ru: 0.1726 0.6726 0.5000  6 Cu 2.52-2.59
Ru: 0.3274 0.1726 0.5000  6 Cu 2.52-2.59
Ru: 0.6726 0.8274 0.5000  6 Cu 2.52-2.59
Ru: 0.8274 0.3274 0.5000  6 Cu 2.52-2.59



A relaxed Hf2CuRu2 crystal. Source: the Alexandria database, functional PBE.

Computed properties:
- Theoretical density: 11913 kg/m³
- SG: P4/mbm, No. 127
- VASP energy: -88.0 eV/cell
- E_form: -287 meV/atom

Cell: 7.2127 7.2127 3.3368 Å, 90.00 90.00 90.00°
Closest atoms and distances in Å follow each position.
Fractional positions:
Hf: 0.1604 0.3396 0.0000  6 Ru 2.62-2.74
Hf: 0.3396 0.8396 0.0000  6 Ru 2.62-2.74
Hf: 0.6604 0.1604 0.0000  6 Ru 2.62-2.74
Hf: 0.8396 0.6604 0.0000  6 Ru 2.62-2.74
Cu: 0.0000 0.0000 0.5000  4 Ru 2.78
Cu: 0.5000 0.5000 0.5000  4 Ru 2.78
Ru: 0.1411 0.6411 0.5000  6 Hf 2.62-2.74, 2 Cu 2.78, 1 Ru 2.88
Ru: 0.3589 0.1411 0.5000  6 Hf 2.62-2.74, 2 Cu 2.78, 1 Ru 2.88
Ru: 0.6411 0.8589 0.5000  6 Hf 2.62-2.74, 2 Cu 2.78, 1 Ru 2.88
Ru: 0.8589 0.3589 0.5000  6 Hf 2.62-2.74, 2 Cu 2.78, 1 Ru 2.88



A relaxed HfCu4Ru crystal. Source: the Alexandria database, functional PBE.

Computed properties:
- Theoretical density: 10968 kg/m³
- SG: F-43m, No. 216
- VASP energy: -36.4 eV/cell
- E_form: -125 meV/atom

Cell: 4.8527 4.8527 4.8527 Å, 60.00 60.00 60.00°
Closest atoms and distances in Å follow each position.
Fractional positions:
Hf: 0.0000 0.0000 0.0000  12 Cu 2.85, 4 Ru 2.97
Cu: 0.1264 0.6245 0.6245  6 Cu 2.42-2.44
Cu: 0.6245 0.1264 0.6245  6 Cu 2.42-2.44
Cu: 0.6245 0.6245 0.1264  6 Cu 2.42-2.44
Cu: 0.6245 0.6245 0.6245  6 Cu 2.42-2.44
Ru: 0.2500 0.2500 0.2500  12 Cu 2.84, 4 Hf 2.97



A relaxed Hf2Cu2Ru crystal. Source: the Alexandria database, functional PBE.

Computed properties:
- Theoretical density: 12021 kg/m³
- SG: P4/mbm, No. 127
- VASP energy: -76.7 eV/cell
- E_form: -191 meV/atom

Cell: 6.8734 6.8734 3.4218 Å, 90.00 90.00 90.00°
Closest atoms and distances in Å follow each position.
Fractional positions:
Hf: 0.1843 0.3157 0.0000  6 Cu 2.56-2.74
Hf: 0.3157 0.8157 0.0000  6 Cu 2.56-2.74
Hf: 0.6843 0.1843 0.0000  6 Cu 2.56-2.74
Hf: 0.8157 0.6843 0.0000  6 Cu 2.56-2.74
Cu: 0.1203 0.6203 0.5000  1 Cu 2.34, 2 Hf 2.56
Cu: 0.3797 0.1203 0.5000  1 Cu 2.34, 2 Hf 2.56
Cu: 0.6203 0.8797 0.5000  1 Cu 2.34, 2 Hf 2.56
Cu: 0.8797 0.3797 0.5000  1 Cu 2.34, 2 Hf 2.56
Ru: 0.0000 0.0000 0.5000  4 Cu 2.74, 8 Hf 3.04
Ru: 0.5000 0.5000 0.5000  4 Cu 2.74, 8 Hf 3.04



A relaxed Hf2CuRu crystal. Source: the Alexandria database, functional PBE.

Computed properties:
- Theoretical density: 11837 kg/m³
- SG: I-42d, No. 122
- VASP energy: -65.7 eV/cell
- E_form: 111 meV/atom

Cell: 5.8171 5.8171 5.8171 Å, 103.76 103.76 121.61°
Closest atoms and distances in Å follow each position.
Fractional positions:
Hf: 0.1138 0.6250 0.9888  2 Ru 2.58, 2 Cu 2.69, 2 Hf 2.84
Hf: 0.3750 0.3638 0.4888  2 Ru 2.58, 2 Cu 2.69, 2 Hf 2.84
Hf: 0.6362 0.1250 0.0112  2 Ru 2.58, 2 Cu 2.69, 2 Hf 2.84
Hf: 0.8750 0.8862 0.5112  2 Ru 2.58, 2 Cu 2.69, 2 Hf 2.84
Cu: 0.2500 0.7500 0.5000  4 Hf 2.69, 2 Ru 2.84
Cu: 0.5000 0.5000 0.0000  4 Hf 2.69, 2 Ru 2.84
Ru: 0.0000 0.0000 0.0000  4 Hf 2.58, 2 Cu 2.84
Ru: 0.7500 0.2500 0.5000  4 Hf 2.58, 2 Cu 2.84



A relaxed HfCuSbRu crystal. Source: the Alexandria database, functional PBE.

Computed properties:
- Theoretical density: 11463 kg/m³
- SG: F-43m, No. 216
- Formation energy (no corrections): -260 meV per atom
- VASP energy: -28.5 eV/cell

Cell: 4.5666 4.5666 4.5666 Å, 60.00 60.00 60.00°
Closest atoms and distances in Å follow each position.
Fractional positions:
Hf: 0.0000 0.0000 0.0000  4 Ru 2.80, 4 Cu 2.80
Cu: 0.7500 0.7500 0.7500  4 Sb 2.80, 4 Hf 2.80
Sb: 0.5000 0.5000 0.5000  4 Ru 2.80, 4 Cu 2.80
Ru: 0.2500 0.2500 0.2500  4 Hf 2.80, 4 Sb 2.80



A relaxed TbHfCuRu crystal. Source: the Alexandria database, functional PBE.

Computed properties:
- Theoretical density: 11127 kg/m³
- SG: F-43m, No. 216
- VASP energy: -29.2 eV/cell
- E_form: -301 meV/atom

Cell: 4.7319 4.7319 4.7319 Å, 60.00 60.00 60.00°
Closest atoms and distances in Å follow each position.
Fractional positions:
Tb: 0.0000 0.0000 0.0000  4 Ru 2.90, 4 Cu 2.90
Hf: 0.5000 0.5000 0.5000  4 Ru 2.90, 4 Cu 2.90
Cu: 0.2500 0.2500 0.2500  4 Hf 2.90, 4 Tb 2.90
Ru: 0.7500 0.7500 0.7500  4 Hf 2.90, 4 Tb 2.90



A relaxed HfCuTc2Ru crystal. Source: the Alexandria database, functional PBE.

Computed properties:
- Theoretical density: 9306 kg/m³
- SG: P4/mmm, No. 123
- VASP energy: -38.4 eV/cell
- E_form: 1137 meV/atom

Cell: 4.5965 4.5965 4.5531 Å, 90.00 90.00 90.00°
Closest atoms and distances in Å follow each position.
Fractional positions:
Hf: 0.0000 0.0000 0.0000  8 Tc 3.23, 4 Cu 3.25
Cu: 0.5000 0.5000 0.0000  2 Ru 2.28
Tc: 0.0000 0.5000 0.5000  2 Ru 2.30
Tc: 0.5000 0.0000 0.5000  2 Ru 2.30
Ru: 0.5000 0.5000 0.5000  2 Cu 2.28, 4 Tc 2.30



A relaxed Hf2TiCuRu crystal. Source: the Alexandria database, functional PBE.

Computed properties:
- Theoretical density: 8930 kg/m³
- SG: P4/mmm, No. 123
- VASP energy: -36.2 eV/cell
- E_form: 1000 meV/atom

Cell: 4.9138 4.9138 4.3856 Å, 90.00 90.00 90.00°
Closest atoms and distances in Å follow each position.
Fractional positions:
Hf: 0.0000 0.5000 0.0000  2 Ti 2.46
Hf: 0.5000 0.0000 0.0000  2 Ti 2.46
Ti: 0.0000 0.0000 0.0000  2 Ru 2.19
Cu: 0.5000 0.5000 0.5000  8 Hf 3.29, 4 Ru 3.47
Ru: 0.0000 0.0000 0.5000  2 Ti 2.19



A relaxed TmHfCuRu crystal. Source: the Alexandria database, functional PBE.

Computed properties:
- Theoretical density: 11677 kg/m³
- SG: F-43m, No. 216
- VASP energy: -29.3 eV/cell
- E_form: -380 meV/atom

Cell: 4.6872 4.6872 4.6872 Å, 60.00 60.00 60.00°
Closest atoms and distances in Å follow each position.
Fractional positions:
Tm: 0.0000 0.0000 0.0000  4 Cu 2.87, 4 Ru 2.87
Hf: 0.5000 0.5000 0.5000  4 Cu 2.87, 4 Ru 2.87
Cu: 0.7500 0.7500 0.7500  4 Tm 2.87, 4 Hf 2.87
Ru: 0.2500 0.2500 0.2500  4 Hf 2.87, 4 Tm 2.87



A relaxed HfCu2RuW crystal. Source: the Alexandria database, functional PBE.

Computed properties:
- Theoretical density: 9457 kg/m³
- SG: P4/mmm, No. 123
- VASP energy: -29.7 eV/cell
- E_form: 2137 meV/atom

Cell: 4.6259 4.6259 4.8453 Å, 90.00 90.00 90.00°
Closest atoms and distances in Å follow each position.
Fractional positions:
Hf: 0.0000 0.0000 0.0000  4 Cu 2.31, 2 W 2.42
Cu: 0.0000 0.5000 0.0000  2 Hf 2.31
Cu: 0.5000 0.0000 0.0000  2 Hf 2.31
Ru: 0.5000 0.5000 0.5000  4 W 3.27, 8 Cu 3.35
W: 0.0000 0.0000 0.5000  2 Hf 2.42



Q: Among the records above, which one has the lowest theoretical density?
A: Hf2TiCuRu